12
Lattice="-0.9716 3.3506 4.3090 -3.9156 1.4534 -2.0130 -3.2360 -4.6842 2.9126" Properties=species:S:1:pos:R:3 comment="BeRhF, optimized geometry, DFT PBE-GGA" de_polymorph_mev_per_atom=604 n_ef_per_ev_cell=8.062 m_tot_mub_per_atom=0.000 dft_energy_ev_per_atom=-5.158 formation_energy_uncorrected_ev_per_atom=-0.842 pbc="T T T"
Rh -4.5110 -2.6701 4.1770
Rh -4.4872 -0.8551 0.1018
Rh -3.6123 2.7899 1.0316
Rh -3.6361 0.9748 5.1068
F -1.9578 0.7267 -1.0065
F -2.1038 -0.6668 3.6108
F 0.0000 0.0000 0.0000
F -4.0616 0.0599 2.6043
Be -4.8720 1.3813 2.4648
Be -3.3970 1.1378 -0.5800
Be -3.2513 -1.2615 2.7438
Be -4.7263 -1.0180 5.7886